YSnAs2Se | GGA-PBE | optimized geometry

Unit cell a=5.4168 b=5.4168 c=5.4061 alpha=90.00 beta=90.00 gamma=90.00
Space group P4/mmm (No. 123)
Inequivalent atoms, fractional coordinates:
Y 0.0000 0.0000 0.0000
Sn 0.5000 0.5000 0.5000
As 0.0000 0.5000 0.0000
Se 0.0000 0.0000 0.5000

Values from the calculation:
Fermi-level density of states: 1.0514 states/eV/atom
Raw formation energy: 0.075 eV/atom
ΔE to the lowest computed polymorph: 0.0000 eV per atom
E_tot: -4.575 eV/atom

=====

YSnAs2Se | GGA-PBE | optimized geometry

Unit cell a=5.1541 b=5.1541 c=5.2734 alpha=90.00 beta=90.00 gamma=90.00
Space group P4/mmm (No. 123)
Inequivalent atoms, fractional coordinates:
Y 0.0000 0.0000 0.0000
Sn 0.5000 0.5000 0.5000
As 0.0000 0.5000 0.5000
Se 0.5000 0.5000 0.0000

Values from the calculation:
Fermi-level density of states: 0.9027 states/eV/atom
Raw formation energy: 0.107 eV/atom
ΔE to the lowest computed polymorph: 0.0325 eV per atom
E_tot: -4.543 eV/atom